[1]
Here is a relaxed Al3Fe crystal from Alexandria via LeMat-Bulk. Energies are from PBE-GGA.

Summary:
The symmetry is P4/mmm, No. 123. The calculation puts the formation enthalpy at 0 K at -0.141 eV/atom. The total energy comes out at -5.063 eV per atom. The theoretical density comes out at 3.947 Mg/m³.

Cell: 2.742 2.742 7.655 Å, 90.00 90.00 90.03°
Fractional positions:
1 Fe 0.500 0.500 0.250
2 Al 0.000 0.000 0.039
3 Al 0.500 0.500 0.750
4 Al 0.000 0.000 0.461

***

[2]
Here is a relaxed HoPaGe crystal from Alexandria via LeMat-Bulk. Energies are from PBE-GGA.

Summary:
The symmetry is P3m1, No. 156. The calculation puts the formation enthalpy at 0 K at -0.009 eV/atom. For the distance to the lowest polymorph of the same formula, the calculation gives 0.122 eV per atom. The total energy comes out at -6.240 eV per atom. The theoretical density comes out at 10.546 Mg/m³.

Cell: 3.470 4.955 4.955 Å, 120.00 90.00 90.00°
Fractional positions:
1 Ge 0.971 0.000 0.000
2 Pa 0.276 0.667 0.333
3 Ho 0.753 0.333 0.667

***

[3]
Here is a relaxed Ac2SbRh2 crystal from Alexandria via LeMat-Bulk. Energies are from PBE-GGA.

Summary:
The symmetry is C2/m, No. 12. For the distance to the lowest polymorph of the same formula, the calculation gives 0.072 eV per atom. The total energy comes out at -6.108 eV per atom. Its formation energy without anion corrections is -0.700 eV per atom. The theoretical density comes out at 9.528 Mg/m³.

Cell: 4.586 6.372 10.322 Å, 79.09 77.16 68.91°
Fractional positions:
1 Ac 0.681 0.284 0.353
2 Ac 0.897 0.300 0.905
3 Ac 0.319 0.716 0.647
4 Ac 0.103 0.700 0.095
5 Sb 0.599 0.121 0.682
6 Sb 0.401 0.879 0.318
7 Rh 0.039 0.322 0.601
8 Rh 0.620 0.849 0.911
9 Rh 0.961 0.678 0.399
10 Rh 0.380 0.151 0.089

***

The highest theoretical density belongs to which entry?
HoPaGe